No. 1
{"formula": "Ac4In2Pd", "functional": "PBE", "state": "optimized geometry", "cell": [[6.315, -2.536, 0.000], [6.315, 2.536, 0.000], [-4.933, 0.000, 7.873]], "species": ["Ac", "Ac", "Ac", "Ac", "In", "In", "Pd"], "fractional_positions": [[0.080, 0.080, 0.367], [0.326, 0.326, 0.927], [0.674, 0.674, 0.073], [0.920, 0.920, 0.633], [0.365, 0.365, 0.341], [0.635, 0.635, 0.659], [0.000, 0.000, 0.000]], "delta_e_f_kj_per_mol_atoms": -42.6, "m_tot_mub_per_atom": 0.000}

No. 2
{"formula": "Np3Te4", "functional": "PBE", "state": "optimized geometry", "cell": [[-4.651, 4.651, 4.651], [4.651, -4.651, 4.651], [4.651, 4.651, -4.651]], "species": ["Np", "Np", "Np", "Np", "Np", "Np", "Te", "Te", "Te", "Te", "Te", "Te", "Te", "Te"], "fractional_positions": [[0.125, 0.875, 0.250], [0.250, 0.125, 0.875], [0.375, 0.625, 0.750], [0.625, 0.750, 0.375], [0.750, 0.375, 0.625], [0.875, 0.250, 0.125], [0.000, 0.152, 0.500], [0.000, 0.652, 0.500], [0.152, 0.500, 0.000], [0.348, 0.348, 0.348], [0.500, 0.000, 0.152], [0.500, 0.000, 0.652], [0.652, 0.500, 0.000], [0.848, 0.848, 0.848]], "formation_energy_uncorrected_ev_per_atom": -0.684, "m_tot_mub_per_atom": 1.857}

No. 3
{"formula": "PIrCl4", "functional": "PBE", "state": "optimized geometry", "cell": [[0.000, 3.942, 3.942], [3.942, 0.000, 3.942], [3.942, 3.942, 0.000]], "species": ["P", "Ir", "Cl", "Cl", "Cl", "Cl"], "fractional_positions": [[0.000, 0.000, 0.000], [0.250, 0.250, 0.250], [0.129, 0.624, 0.624], [0.624, 0.129, 0.624], [0.624, 0.624, 0.129], [0.624, 0.624, 0.624]], "formation_energy_uncorrected_ev_per_atom": 1.662, "m_tot_mub_per_atom": 0.080}

No. 4
{"formula": "Tm2In3Ag4", "functional": "PBE", "state": "optimized geometry", "cell": [[4.939, 0.000, 0.000], [-2.470, 4.277, 0.000], [0.000, 0.000, 9.212]], "species": ["Tm", "Tm", "In", "In", "In", "Ag", "Ag", "Ag", "Ag"], "fractional_positions": [[0.333, 0.667, 0.283], [0.667, 0.333, 0.717], [0.000, 0.000, 0.500], [0.333, 0.667, 0.925], [0.667, 0.333, 0.075], [0.000, 0.000, 0.166], [0.000, 0.000, 0.834], [0.333, 0.667, 0.604], [0.667, 0.333, 0.396]], "delta_e_f_kj_per_mol_atoms": -25.1, "m_tot_mub_per_atom": 0.000}

No. 5
{"formula": "TlPt2F8", "functional": "PBE", "state": "optimized geometry", "cell": [[4.095, 0.000, 0.000], [1.947, 5.820, 0.000], [0.078, 2.798, 6.659]], "species": ["Tl", "Pt", "Pt", "F", "F", "F", "F", "F", "F", "F", "F"], "fractional_positions": [[0.000, 0.000, 0.000], [0.385, 0.228, 0.369], [0.615, 0.772, 0.631], [0.110, 0.782, 0.665], [0.202, 0.596, 0.138], [0.329, 0.331, 0.593], [0.440, 0.120, 0.132], [0.560, 0.880, 0.868], [0.671, 0.669, 0.407], [0.798, 0.404, 0.862], [0.890, 0.218, 0.335]], "formation_energy_uncorrected_ev_per_atom": -1.278, "m_tot_mub_per_atom": 0.000}

No. 6
{"formula": "Tb2Pa2Rh3", "functional": "PBE", "state": "optimized geometry", "cell": [[6.921, -1.992, 0.000], [6.921, 1.992, 0.000], [-0.066, 0.000, 5.901]], "species": ["Tb", "Tb", "Pa", "Pa", "Rh", "Rh", "Rh"], "fractional_positions": [[0.146, 0.146, 0.115], [0.854, 0.854, 0.885], [0.407, 0.407, 0.398], [0.593, 0.593, 0.602], [0.220, 0.220, 0.655], [0.500, 0.500, 0.000], [0.780, 0.780, 0.345]], "delta_e_f_kj_per_mol_atoms": -59.8, "m_tot_mub_per_atom": 0.000}

No. 7
{"formula": "CeHo4Se6", "functional": "PBE", "state": "optimized geometry", "cell": [[2.019, -6.682, 0.000], [2.019, 6.682, 0.000], [0.000, 0.000, 20.655]], "species": ["Ce", "Ce", "Ho", "Ho", "Ho", "Ho", "Ho", "Ho", "Ho", "Ho", "Se", "Se", "Se", "Se", "Se", "Se", "Se", "Se", "Se", "Se", "Se", "Se"], "fractional_positions": [[0.156, 0.844, 0.750], [0.844, 0.156, 0.250], [0.091, 0.909, 0.126], [0.091, 0.909, 0.374], [0.359, 0.641, 0.039], [0.359, 0.641, 0.461], [0.641, 0.359, 0.539], [0.641, 0.359, 0.961], [0.909, 0.091, 0.626], [0.909, 0.091, 0.874], [0.000, 0.000, 0.000], [0.000, 0.000, 0.500], [0.181, 0.819, 0.250], [0.268, 0.732, 0.591], [0.268, 0.732, 0.909], [0.452, 0.548, 0.164], [0.452, 0.548, 0.336], [0.548, 0.452, 0.664], [0.548, 0.452, 0.836], [0.732, 0.268, 0.091], [0.732, 0.268, 0.409], [0.819, 0.181, 0.750]], "formation_energy_uncorrected_ev_per_atom": -1.812, "m_tot_mub_per_atom": 0.102}

No. 8
{"formula": "TbNpAs2", "functional": "PBE", "state": "optimized geometry", "cell": [[2.056, 1.187, 6.751], [-2.056, 1.187, 6.751], [0.000, -2.374, 6.751]], "species": ["Tb", "Np", "As", "As"], "fractional_positions": [[0.000, 0.000, 0.000], [0.500, 0.500, 0.500], [0.249, 0.249, 0.249], [0.751, 0.751, 0.751]], "delta_e_f_kj_per_mol_atoms": -106.9, "m_tot_mub_per_atom": 0.957}